The following is a DFT calculation (GGA-PBE) of a relaxed structure of Zr2Mn2Cl.

Cell: 7.5368 7.5368 3.1598 Å, 90.00 90.00 90.00°
Closest atoms and distances in Å follow each position.
Positions (direct):
Zr  0.1949  0.3051  0.0000  2 Cl 2.73, 6 Mn 2.77-2.79
Mn  0.0920  0.5920  0.5000  1 Mn 1.96
Zr  0.8051  0.6949  0.0000  2 Cl 2.73, 6 Mn 2.77-2.79
Cl  0.5000  0.5000  0.0000  4 Zr 2.73
Mn  0.9080  0.4080  0.5000  1 Mn 1.96
Zr  0.3051  0.8051  0.0000  2 Cl 2.73, 6 Mn 2.77-2.79
Zr  0.6949  0.1949  0.0000  2 Cl 2.73, 6 Mn 2.77-2.79
Cl  0.0000  0.0000  0.0000  4 Zr 2.73
Mn  0.4080  0.0920  0.5000  1 Mn 1.96
Mn  0.5920  0.9080  0.5000  1 Mn 1.96

## Properties
Energy relative to the elements, uncorrected, kJ per mole of atoms: 9.5
Density of states at the Fermi level, states/eV/f.u.: 5.48